Entry from Alexandria via LeMat-Bulk: crystalline NaNdAs2Pt4 at its relaxed geometry (PBE).

The structure in POSCAR format:
```
NaNdAs2Pt4
1.0
4.047 0.000 0.000
0.000 4.047 0.000
0.000 0.000 10.570
Na Pt As Nd
1 4 2 1
Cartesian
0.000 0.000 5.285
0.000 2.023 8.317
0.000 2.023 2.252
2.023 0.000 8.317
2.023 0.000 2.252
2.023 2.023 3.683
2.023 2.023 6.886
0.000 0.000 0.000
```

DOS at the Fermi energy = 2.9 states/eV/f.u.
Calculated volume = 21.63 Å³ per atom
ΔH_f (0 K) = -585 meV/atom